Sc2TaSe: optimized geometry, GGA-PBEsol.

Values from the calculation:
* mass density: 7.718 g cm⁻³
* total moment: 9.314 μB/cell
* E: -116.62 eV per cell
* Fermi-level density of states: 9.20 states/eV per cell
* formation energy (no corrections): 0.114 eV per atom

Cell: 6.702 6.702 6.702 Å, 90.00 90.00 90.00°
Space group F-43m (No. 216)
One atom of each set of equivalent atoms:
Sc 0.000 0.000 0.000 (multiplicity 4)
Sc 0.250 0.250 0.250 (multiplicity 4)
Ta 0.250 0.250 0.750 (multiplicity 4)
Se 0.000 0.000 0.500 (multiplicity 4)